This record from Alexandria via LeMat-Bulk describes a relaxed AgTePb2 crystal. The functional is GGA-PBEsol.

Output
Raw total energy = -3.64 eV/atom
Raw formation energy = 0.07 eV per atom

Lattice parameters (Å, degrees): 5.213 5.213 3.915 90.00 90.00 90.00
Element x y z (fractional)
Ag1 0.000 0.000 0.000
Te1 0.500 0.500 0.000
Pb1 0.000 0.500 0.500
Pb2 0.500 0.000 0.500

=====

This record from Alexandria via LeMat-Bulk describes a relaxed AgTePb2 crystal. The functional is GGA-PBEsol.

Output
Raw total energy = -3.67 eV/atom
Raw formation energy = 0.04 eV per atom

Lattice parameters (Å, degrees): 3.870 3.870 7.013 90.00 90.00 90.00
Element x y z (fractional)
Ag1 0.000 0.000 0.000
Te1 0.000 0.000 0.500
Pb1 0.500 0.500 0.233
Pb2 0.500 0.500 0.767

=====

This record from Alexandria via LeMat-Bulk describes a relaxed AgTe2Pb crystal. The functional is GGA-PBEsol.

Output
Raw total energy = -3.74 eV/atom
Raw formation energy = -0.15 eV per atom

Lattice parameters (Å, degrees): 4.295 4.295 20.774 90.00 90.00 120.00
Element x y z (fractional)
Ag1 0.000 0.000 0.000
Ag2 0.333 0.667 0.667
Ag3 0.667 0.333 0.333
Te1 0.000 0.000 0.261
Te2 0.000 0.000 0.739
Te3 0.333 0.667 0.406
Te4 0.333 0.667 0.927
Te5 0.667 0.333 0.073
Te6 0.667 0.333 0.594
Pb1 0.000 0.000 0.500
Pb2 0.333 0.667 0.167
Pb3 0.667 0.333 0.833

=====

This record from Alexandria via LeMat-Bulk describes a relaxed Ag4TePb crystal. The functional is GGA-PBEsol.

Output
Raw total energy = -3.41 eV/atom
Raw formation energy = 0.05 eV per atom

Lattice parameters (Å, degrees): 5.592 5.592 5.592 60.00 60.00 60.00
Element x y z (fractional)
Ag1 0.125 0.125 0.125
Ag2 0.125 0.125 0.624
Ag3 0.125 0.624 0.125
Ag4 0.624 0.125 0.125
Te1 0.750 0.750 0.750
Pb1 0.500 0.500 0.500